[1]
# YSiF3

A relaxed structure of YSiF3 (PBE, Alexandria via LeMat-Bulk).

Geometry as CIF:
```
data_YSiF3
_cell_length_a 4.349
_cell_length_b 4.349
_cell_length_c 4.349
_cell_angle_alpha 90.00
_cell_angle_beta 90.00
_cell_angle_gamma 90.00
_symmetry_space_group_name_H-M 'P 1'
_symmetry_Int_Tables_number 1
loop_
_symmetry_equiv_pos_as_xyz
'x,y,z'
loop_
_atom_site_label
_atom_site_type_symbol
_atom_site_fract_x
_atom_site_fract_y
_atom_site_fract_z
F1 F 0.000 0.500 0.000
Si1 Si 0.000 0.000 0.000
F2 F 0.000 0.000 0.500
F3 F 0.500 0.000 0.000
Y1 Y 0.500 0.500 0.500
```

E_form (uncorrected) (eV/atom): -1.476
Spin magnetization (μB per atom): 0.34
Energy (eV per atom): -4.976
Density (Mg/m³): 3.5
N(E_F) (states/eV/atom): 0.560

[2]
# LiGa3Ag3

A relaxed structure of LiGa3Ag3 (PBE, Alexandria via LeMat-Bulk).

Geometry as CIF:
```
data_LiGa3Ag3
_cell_length_a 7.225
_cell_length_b 7.225
_cell_length_c 7.225
_cell_angle_alpha 90.00
_cell_angle_beta 90.00
_cell_angle_gamma 90.00
_symmetry_space_group_name_H-M 'P 1'
_symmetry_Int_Tables_number 1
loop_
_symmetry_equiv_pos_as_xyz
'x,y,z'
loop_
_atom_site_label
_atom_site_type_symbol
_atom_site_fract_x
_atom_site_fract_y
_atom_site_fract_z
Li1 Li 0.500 0.500 0.500
Ag1 Ag 0.500 0.250 0.000
Ga1 Ga 0.500 0.000 0.750
Ag2 Ag 0.750 0.000 0.500
Ga2 Ga 0.750 0.500 0.000
Ga3 Ga 0.250 0.500 0.000
Ga4 Ga 0.000 0.750 0.500
Li2 Li 0.000 0.000 0.000
Ga5 Ga 0.000 0.250 0.500
Ag3 Ag 0.000 0.500 0.250
Ag4 Ag 0.250 0.000 0.500
Ag5 Ag 0.000 0.500 0.750
Ag6 Ag 0.500 0.750 0.000
Ga6 Ga 0.500 0.000 0.250
```

Spin magnetization (μB per atom): 0.00
Energy (eV per atom): -2.493
Density (Mg/m³): 4.8
N(E_F) (states/eV/atom): 0.298

What did the first record say?
# YSiF3

A relaxed structure of YSiF3 (PBE, Alexandria via LeMat-Bulk).

Geometry as CIF:
```
data_YSiF3
_cell_length_a 4.349
_cell_length_b 4.349
_cell_length_c 4.349
_cell_angle_alpha 90.00
_cell_angle_beta 90.00
_cell_angle_gamma 90.00
_symmetry_space_group_name_H-M 'P 1'
_symmetry_Int_Tables_number 1
loop_
_symmetry_equiv_pos_as_xyz
'x,y,z'
loop_
_atom_site_label
_atom_site_type_symbol
_atom_site_fract_x
_atom_site_fract_y
_atom_site_fract_z
F1 F 0.000 0.500 0.000
Si1 Si 0.000 0.000 0.000
F2 F 0.000 0.000 0.500
F3 F 0.500 0.000 0.000
Y1 Y 0.500 0.500 0.500
```

E_form (uncorrected) (eV/atom): -1.476
Spin magnetization (μB per atom): 0.34
Energy (eV per atom): -4.976
Density (Mg/m³): 3.5
N(E_F) (states/eV/atom): 0.560